1.
{
  "formula": "ReSnHOs2",
  "functional": "PBE",
  "state": "optimized geometry",
  "crystal_system": "tetragonal",
  "volume_a3_per_atom": 15.51,
  "energy_ev_per_cell": -33.47,
  "lattice_angstrom": [[4.992, 0.000, 0.000], [0.000, 4.992, 0.000], [0.000, 0.000, 3.112]],
  "species": ["Re", "Sn", "H", "Os", "Os"],
  "frac_coords": [[0.000, 0.000, 0.000], [0.500, 0.500, 0.500], [0.500, 0.500, 0.000], [0.000, 0.500, 0.500], [0.500, 0.000, 0.500]]
}

2.
{
  "formula": "TaReHOs2",
  "functional": "PBE",
  "state": "optimized geometry",
  "crystal_system": "tetragonal",
  "volume_a3_per_atom": 12.67,
  "energy_ev_per_cell": -50.15,
  "lattice_angstrom": [[3.957, 0.000, 0.000], [0.000, 3.957, 0.000], [0.000, 0.000, 4.044]],
  "species": ["Ta", "Re", "H", "Os", "Os"],
  "frac_coords": [[0.000, 0.000, 0.000], [0.500, 0.500, 0.000], [0.000, 0.000, 0.500], [0.000, 0.500, 0.500], [0.500, 0.000, 0.500]]
}

3.
{
  "formula": "Ta2ReHOs",
  "functional": "PBE",
  "state": "optimized geometry",
  "crystal_system": "tetragonal",
  "volume_a3_per_atom": 13.61,
  "energy_ev_per_cell": -51.15,
  "polymorph_energy_mev_per_atom": 31.3,
  "lattice_angstrom": [[4.355, 0.000, 0.000], [0.000, 4.355, 0.000], [0.000, 0.000, 3.587]],
  "species": ["Ta", "Ta", "Re", "H", "Os"],
  "frac_coords": [[0.000, 0.500, 0.000], [0.500, 0.000, 0.000], [0.000, 0.000, 0.500], [0.000, 0.000, 0.000], [0.500, 0.500, 0.500]]
}

4.
{
  "formula": "Ta2ReHOs",
  "functional": "PBE",
  "state": "optimized geometry",
  "crystal_system": "tetragonal",
  "volume_a3_per_atom": 13.60,
  "energy_ev_per_cell": -51.31,
  "polymorph_energy_mev_per_atom": 0.0,
  "lattice_angstrom": [[4.388, 0.000, 0.000], [0.000, 4.388, 0.000], [0.000, 0.000, 3.531]],
  "species": ["Ta", "Ta", "Re", "H", "Os"],
  "frac_coords": [[0.000, 0.500, 0.000], [0.500, 0.000, 0.000], [0.000, 0.000, 0.500], [0.500, 0.500, 0.000], [0.500, 0.500, 0.500]]
}

5.
{
  "formula": "TaReHOs2",
  "functional": "PBE",
  "state": "optimized geometry",
  "crystal_system": "tetragonal",
  "volume_a3_per_atom": 12.68,
  "energy_ev_per_cell": -50.15,
  "lattice_angstrom": [[3.984, 0.000, 0.000], [0.000, 3.984, 0.000], [0.000, 0.000, 3.994]],
  "species": ["Ta", "Re", "H", "Os", "Os"],
  "frac_coords": [[0.000, 0.000, 0.000], [0.500, 0.500, 0.000], [0.500, 0.500, 0.500], [0.000, 0.500, 0.500], [0.500, 0.000, 0.500]]
}

6.
{
  "formula": "ReTcHOs2",
  "functional": "PBE",
  "state": "optimized geometry",
  "crystal_system": "tetragonal",
  "volume_a3_per_atom": 12.07,
  "energy_ev_per_cell": -47.81,
  "polymorph_energy_mev_per_atom": 42.1,
  "lattice_angstrom": [[3.911, 0.000, 0.000], [0.000, 3.911, 0.000], [0.000, 0.000, 3.944]],
  "species": ["Re", "Tc", "H", "Os", "Os"],
  "frac_coords": [[0.000, 0.000, 0.000], [0.500, 0.500, 0.000], [0.000, 0.000, 0.500], [0.000, 0.500, 0.500], [0.500, 0.000, 0.500]]
}

7.
{
  "formula": "ReTc2HOs",
  "functional": "PBE",
  "state": "optimized geometry",
  "crystal_system": "tetragonal",
  "volume_a3_per_atom": 12.09,
  "energy_ev_per_cell": -47.31,
  "polymorph_energy_mev_per_atom": 8.3,
  "lattice_angstrom": [[3.919, 0.000, 0.000], [0.000, 3.919, 0.000], [0.000, 0.000, 3.938]],
  "species": ["Re", "Tc", "Tc", "H", "Os"],
  "frac_coords": [[0.000, 0.000, 0.000], [0.000, 0.500, 0.500], [0.500, 0.000, 0.500], [0.000, 0.000, 0.500], [0.500, 0.500, 0.000]]
}

8.
{
  "formula": "ReTc2HOs",
  "functional": "PBE",
  "state": "optimized geometry",
  "crystal_system": "tetragonal",
  "volume_a3_per_atom": 12.09,
  "energy_ev_per_cell": -47.35,
  "polymorph_energy_mev_per_atom": 0.0,
  "lattice_angstrom": [[3.931, 0.000, 0.000], [0.000, 3.931, 0.000], [0.000, 0.000, 3.911]],
  "species": ["Re", "Tc", "Tc", "H", "Os"],
  "frac_coords": [[0.000, 0.000, 0.000], [0.000, 0.500, 0.500], [0.500, 0.000, 0.500], [0.500, 0.500, 0.500], [0.500, 0.500, 0.000]]
}

9.
{
  "formula": "Re2TcHOs",
  "functional": "PBE",
  "state": "optimized geometry",
  "crystal_system": "tetragonal",
  "volume_a3_per_atom": 12.20,
  "energy_ev_per_cell": -49.10,
  "polymorph_energy_mev_per_atom": 28.9,
  "lattice_angstrom": [[3.945, 0.000, 0.000], [0.000, 3.945, 0.000], [0.000, 0.000, 3.920]],
  "species": ["Re", "Re", "Tc", "H", "Os"],
  "frac_coords": [[0.000, 0.500, 0.000], [0.500, 0.000, 0.000], [0.000, 0.000, 0.500], [0.500, 0.500, 0.000], [0.500, 0.500, 0.500]]
}

10.
{
  "formula": "ReTcHOs2",
  "functional": "PBE",
  "state": "optimized geometry",
  "crystal_system": "tetragonal",
  "volume_a3_per_atom": 12.03,
  "energy_ev_per_cell": -48.02,
  "polymorph_energy_mev_per_atom": 0.0,
  "lattice_angstrom": [[3.913, 0.000, 0.000], [0.000, 3.913, 0.000], [0.000, 0.000, 3.929]],
  "species": ["Re", "Tc", "H", "Os", "Os"],
  "frac_coords": [[0.000, 0.000, 0.000], [0.500, 0.500, 0.000], [0.500, 0.500, 0.500], [0.000, 0.500, 0.500], [0.500, 0.000, 0.500]]
}

11.
{
  "formula": "Re2TcHOs",
  "functional": "PBE",
  "state": "optimized geometry",
  "crystal_system": "tetragonal",
  "volume_a3_per_atom": 12.17,
  "energy_ev_per_cell": -49.25,
  "polymorph_energy_mev_per_atom": 0.0,
  "lattice_angstrom": [[3.939, 0.000, 0.000], [0.000, 3.939, 0.000], [0.000, 0.000, 3.923]],
  "species": ["Re", "Re", "Tc", "H", "Os"],
  "frac_coords": [[0.000, 0.500, 0.000], [0.500, 0.000, 0.000], [0.000, 0.000, 0.500], [0.000, 0.000, 0.000], [0.500, 0.500, 0.500]]
}

12.
{
  "formula": "V2ReHOs",
  "functional": "PBE",
  "state": "optimized geometry",
  "crystal_system": "tetragonal",
  "volume_a3_per_atom": 11.70,
  "energy_ev_per_cell": -45.49,
  "polymorph_energy_mev_per_atom": 0.0,
  "lattice_angstrom": [[4.000, 0.000, 0.000], [0.000, 4.000, 0.000], [0.000, 0.000, 3.656]],
  "species": ["V", "V", "Re", "H", "Os"],
  "frac_coords": [[0.000, 0.500, 0.000], [0.500, 0.000, 0.000], [0.000, 0.000, 0.500], [0.500, 0.500, 0.000], [0.500, 0.500, 0.500]]
}

13.
{
  "formula": "VRe2HOs",
  "functional": "PBE",
  "state": "optimized geometry",
  "crystal_system": "tetragonal",
  "volume_a3_per_atom": 11.96,
  "energy_ev_per_cell": -48.44,
  "lattice_angstrom": [[3.912, 0.000, 0.000], [0.000, 3.912, 0.000], [0.000, 0.000, 3.906]],
  "species": ["V", "Re", "Re", "H", "Os"],
  "frac_coords": [[0.000, 0.000, 0.000], [0.000, 0.500, 0.500], [0.500, 0.000, 0.500], [0.000, 0.000, 0.500], [0.500, 0.500, 0.000]]
}

14.
{
  "formula": "V2ReHOs",
  "functional": "PBE",
  "state": "optimized geometry",
  "crystal_system": "tetragonal",
  "volume_a3_per_atom": 11.67,
  "energy_ev_per_cell": -45.45,
  "polymorph_energy_mev_per_atom": 7.6,
  "lattice_angstrom": [[3.933, 0.000, 0.000], [0.000, 3.933, 0.000], [0.000, 0.000, 3.772]],
  "species": ["V", "V", "Re", "H", "Os"],
  "frac_coords": [[0.000, 0.500, 0.000], [0.500, 0.000, 0.000], [0.000, 0.000, 0.500], [0.000, 0.000, 0.000], [0.500, 0.500, 0.500]]
}